# La5Pt4 (PBE, relaxed)
# offset from the most stable computed form	0	meV/atom
# formation enthalpy at 0 K	-94.9	kJ/mol of atoms
data_La5Pt4
_cell_length_a 8.8210
_cell_length_b 8.8210
_cell_length_c 7.1378
_cell_angle_alpha 90.00
_cell_angle_beta 90.00
_cell_angle_gamma 120.00
_symmetry_space_group_name_H-M 'P 63/m c m'
_symmetry_Int_Tables_number 193
_symmetry_space_group_name_Hall '-P 6c 2'
loop_
_atom_site_label
_atom_site_type_symbol
_atom_site_fract_x
_atom_site_fract_y
_atom_site_fract_z
La1 La 0.0000 0.2641 0.2500
La2 La 0.3333 0.6667 0.0000
Pt1 Pt 0.0000 0.0000 0.0000
Pt2 Pt 0.0000 0.3965 0.7500

# La3Pt (PBE, relaxed)
# formation enthalpy at 0 K	-36.4	kJ/mol of atoms
data_La3Pt
_cell_length_a 4.8727
_cell_length_b 4.8826
_cell_length_c 4.8240
_cell_angle_alpha 90.00
_cell_angle_beta 90.00
_cell_angle_gamma 90.00
_symmetry_space_group_name_H-M 'P m m 2'
_symmetry_Int_Tables_number 25
loop_
_symmetry_equiv_pos_as_xyz
'x,y,z'
'-x,-y,z'
'-x,y,z'
'x,-y,z'
loop_
_atom_site_label
_atom_site_type_symbol
_atom_site_fract_x
_atom_site_fract_y
_atom_site_fract_z
La1 La 0.0000 0.0000 0.0000
La2 La 0.0000 0.5000 0.3870
La3 La 0.5000 0.0000 0.6122
Pt1 Pt 0.5000 0.5000 0.9986

# La3Pt4 (PBE, relaxed)
# offset from the most stable computed form	783	meV/atom
# formation enthalpy at 0 K	-36.6	kJ/mol of atoms
data_La3Pt4
_cell_length_a 6.7756
_cell_length_b 6.7756
_cell_length_c 4.7042
_cell_angle_alpha 90.00
_cell_angle_beta 90.00
_cell_angle_gamma 120.00
_symmetry_space_group_name_H-M 'P 6/m m m'
_symmetry_Int_Tables_number 191
_symmetry_space_group_name_Hall '-P 6 2'
loop_
_atom_site_label
_atom_site_type_symbol
_atom_site_fract_x
_atom_site_fract_y
_atom_site_fract_z
La1 La 0.0000 0.5000 0.0000
Pt1 Pt 0.0000 0.0000 0.2517
Pt2 Pt 0.3333 0.6667 0.5000

# La3Pt4 (PBE, relaxed)
# offset from the most stable computed form	272	meV/atom
# formation enthalpy at 0 K	-86.0	kJ/mol of atoms
data_La3Pt4
_cell_length_a 4.0880
_cell_length_b 4.0880
_cell_length_c 21.4866
_cell_angle_alpha 90.00
_cell_angle_beta 90.00
_cell_angle_gamma 90.00
_symmetry_space_group_name_H-M 'I 4/m m m'
_symmetry_Int_Tables_number 139
_symmetry_space_group_name_Hall '-I 4 2'
loop_
_atom_site_label
_atom_site_type_symbol
_atom_site_fract_x
_atom_site_fract_y
_atom_site_fract_z
La1 La 0.0000 0.0000 0.0000
La2 La 0.0000 0.0000 0.3106
Pt1 Pt 0.0000 0.0000 0.1609
Pt2 Pt 0.0000 0.0000 0.4385

# La3Pt (PBE, relaxed)
# formation enthalpy at 0 K	-32.5	kJ/mol of atoms
data_La3Pt
_cell_length_a 5.4573
_cell_length_b 5.4573
_cell_length_c 3.7512
_cell_angle_alpha 90.00
_cell_angle_beta 90.00
_cell_angle_gamma 90.00
_symmetry_space_group_name_H-M 'P 4/m m m'
_symmetry_Int_Tables_number 123
_symmetry_space_group_name_Hall '-P 4 2'
loop_
_atom_site_label
_atom_site_type_symbol
_atom_site_fract_x
_atom_site_fract_y
_atom_site_fract_z
La1 La 0.0000 0.0000 0.0000
La2 La 0.0000 0.5000 0.5000
Pt1 Pt 0.5000 0.5000 0.0000

# La3Pt2 (PBE, relaxed)
# offset from the most stable computed form	47	meV/atom
# formation enthalpy at 0 K	-91.0	kJ/mol of atoms
data_La3Pt2
_cell_length_a 7.4047
_cell_length_b 7.4047
_cell_length_c 20.3923
_cell_angle_alpha 90.00
_cell_angle_beta 90.00
_cell_angle_gamma 120.00
_symmetry_space_group_name_H-M 'R -3 c'
_symmetry_Int_Tables_number 167
_symmetry_space_group_name_Hall '-R 3 2"c'
loop_
_atom_site_label
_atom_site_type_symbol
_atom_site_fract_x
_atom_site_fract_y
_atom_site_fract_z
La1 La 0.0000 0.3204 0.2500
Pt1 Pt 0.0000 0.0000 0.1608

> Which of these has the highest formation enthalpy at 0 K?

number 5